VASP calculation (PBE) on a relaxed structure of SiIrN.

Cell: 3.576 5.469 7.692 Å, 90.00 90.00 90.00°
Atoms (fractional coordinates):
Si 0.500 0.000 0.441
Si 0.500 0.000 0.941
Si 0.500 0.500 0.941
Si 0.500 0.500 0.441
Ir 0.050 0.250 0.300
Ir 0.950 0.750 0.300
Ir 0.050 0.750 0.800
Ir 0.950 0.250 0.800
N 0.284 0.250 0.055
N 0.716 0.750 0.055
N 0.284 0.750 0.555
N 0.716 0.250 0.555

E_form (uncorrected) ... -0.20 eV per atom
Offset from the most stable computed form ... 26.09 kJ/mol of atoms



VASP calculation (PBE) on a relaxed structure of Zn2AsAu.

Cell: 3.446 3.844 5.387 Å, 90.00 90.00 90.00°
Atoms (fractional coordinates):
As 0.000 0.000 0.448
Au 0.500 0.500 0.804
Zn 0.000 0.000 0.960
Zn 0.500 0.500 0.288

ΔH_f (0 K) ... 0.03 eV per formula unit



What is the formula in the first record?
SiIrN